No. 1
VASP calculation (PBE) on a geometry-optimized Hg2MoAu structure.

Structure (CIF):
```
data_Hg2MoAu
_symmetry_space_group_name_H-M 'F m -3 m'
_symmetry_Int_Tables_number 225
_symmetry_space_group_name_Hall '-F 4 2 3'
_cell_length_a 6.775
_cell_length_b 6.775
_cell_length_c 6.775
_cell_angle_alpha 90.00
_cell_angle_beta 90.00
_cell_angle_gamma 90.00
loop_
_atom_site_label
_atom_site_type_symbol
_atom_site_fract_x
_atom_site_fract_y
_atom_site_fract_z
Hg1 Hg 0.250 0.250 0.250
Mo1 Mo 0.000 0.000 0.000
Au1 Au 0.000 0.000 0.500
```

Its density of states at the Fermi level is 6.79 states/eV per cell. The energy relative to the elements is 2.4 eV per formula unit. As for the excess energy over the best structure of this formula in the dataset: 0.235 eV/atom.

---

No. 2
VASP calculation (PBE) on a geometry-optimized Dy5Zn4Co structure.

Structure (CIF):
```
data_Dy5Zn4Co
_symmetry_space_group_name_H-M 'P 4/m m m'
_symmetry_Int_Tables_number 123
_symmetry_space_group_name_Hall '-P 4 2'
_cell_length_a 3.507
_cell_length_b 3.507
_cell_length_c 17.791
_cell_angle_alpha 90.00
_cell_angle_beta 90.00
_cell_angle_gamma 90.00
loop_
_atom_site_label
_atom_site_type_symbol
_atom_site_fract_x
_atom_site_fract_y
_atom_site_fract_z
Dy1 Dy 0.000 0.000 0.000
Dy2 Dy 0.000 0.000 0.204
Dy3 Dy 0.000 0.000 0.410
Zn1 Zn 0.500 0.500 0.103
Zn2 Zn 0.500 0.500 0.305
Co1 Co 0.500 0.500 0.500
```

Its density of states at the Fermi level is 8.83 states/eV per cell. The energy relative to the elements is -3.1 eV per formula unit.

---

No. 3
VASP calculation (PBE) on a geometry-optimized As3HRu structure.

Structure (CIF):
```
data_As3HRu
_symmetry_space_group_name_H-M 'P m -3 m'
_symmetry_Int_Tables_number 221
_symmetry_space_group_name_Hall '-P 4 2 3'
_cell_length_a 4.148
_cell_length_b 4.148
_cell_length_c 4.148
_cell_angle_alpha 90.00
_cell_angle_beta 90.00
_cell_angle_gamma 90.00
loop_
_atom_site_label
_atom_site_type_symbol
_atom_site_fract_x
_atom_site_fract_y
_atom_site_fract_z
As1 As 0.000 0.000 0.500
H1 H 0.000 0.000 0.000
Ru1 Ru 0.500 0.500 0.500
```

Its density of states at the Fermi level is 2.13 states/eV per cell. As for the excess energy over the best structure of this formula in the dataset: 0.000 eV/atom.

---

No. 4
VASP calculation (PBE) on a geometry-optimized KBaGaO3 structure.

Structure (CIF):
```
data_KBaGaO3
_symmetry_space_group_name_H-M 'C 1 2/m 1'
_symmetry_Int_Tables_number 12
_symmetry_space_group_name_Hall '-C 2y'
_cell_length_a 13.980
_cell_length_b 4.170
_cell_length_c 7.742
_cell_angle_alpha 90.00
_cell_angle_beta 106.83
_cell_angle_gamma 90.00
loop_
_atom_site_label
_atom_site_type_symbol
_atom_site_fract_x
_atom_site_fract_y
_atom_site_fract_z
K1 K 0.147 0.000 0.068
Ba1 Ba 0.154 0.000 0.590
Ga1 Ga 0.005 0.500 0.259
O1 O 0.005 0.000 0.280
O2 O 0.133 0.500 0.809
O3 O 0.143 0.500 0.333
```

Its uncorrected formation energy is -1.853 eV per atom.

---

Looking at M_tot for the records above, in order, we have 9.277 0.382 0.000 0.000 μB per cell.
Looking at total energy for the records above, in order, we have -3.086 -3.827 -4.660 -5.340 eV/atom.